Arrangement 1

# La4NiOs PBE-GGA optimized geometry
data_La4NiOs
_chemical_formula_sum 'La16 Ni4 Os4'
_cell_length_a 13.4706
_cell_length_b 8.5989
_cell_length_c 9.3717
_cell_angle_alpha 90.00
_cell_angle_beta 134.07
_cell_angle_gamma 90.00
_symmetry_space_group_name_H-M 'C 1 2/m 1'
_symmetry_Int_Tables_number 12
_symmetry_space_group_name_Hall '-C 2y'
loop_
_atom_site_label
_atom_site_type_symbol
_atom_site_fract_x
_atom_site_fract_y
_atom_site_fract_z
La1 La 0.0568 0.0000 0.2830
La2 La 0.0568 0.5000 0.2837
La3 La 0.2180 0.2493 0.7712
Ni1 Ni 0.2496 0.0000 0.0003
Os1 Os 0.2500 0.2500 0.5000
# theoretical density = 6.9 g/cm3


Arrangement 2

# La4NiOs PBE-GGA optimized geometry
data_La4NiOs
_chemical_formula_sum 'La16 Ni4 Os4'
_cell_length_a 8.5981
_cell_length_b 8.5981
_cell_length_c 8.5981
_cell_angle_alpha 90.00
_cell_angle_beta 90.00
_cell_angle_gamma 90.00
_symmetry_space_group_name_H-M 'F -4 3 m'
_symmetry_Int_Tables_number 216
_symmetry_space_group_name_Hall 'F -4 2 3'
loop_
_atom_site_label
_atom_site_type_symbol
_atom_site_fract_x
_atom_site_fract_y
_atom_site_fract_z
La1 La 0.1243 0.1243 0.3757
Ni1 Ni 0.0000 0.0000 0.0000
Os1 Os 0.2500 0.2500 0.7500
# theoretical density = 8.4 g/cm3


Q: Which of them is the most stable? A: arrangement 1.


Arrangement 1

# La3NiOs PBE-GGA optimized geometry
data_La3NiOs
_chemical_formula_sum 'La3 Ni1 Os1'
_cell_length_a 5.5296
_cell_length_b 5.5296
_cell_length_c 5.5296
_cell_angle_alpha 90.00
_cell_angle_beta 90.00
_cell_angle_gamma 90.00
_symmetry_space_group_name_H-M 'P m -3 m'
_symmetry_Int_Tables_number 221
_symmetry_space_group_name_Hall '-P 4 2 3'
loop_
_atom_site_label
_atom_site_type_symbol
_atom_site_fract_x
_atom_site_fract_y
_atom_site_fract_z
La1 La 0.0000 0.0000 0.5000
Ni1 Ni 0.5000 0.5000 0.5000
Os1 Os 0.0000 0.0000 0.0000
# theoretical density = 6.5 g/cm3


Arrangement 2

# La3NiOs PBE-GGA optimized geometry
data_La3NiOs
_chemical_formula_sum 'La6 Ni2 Os2'
_cell_length_a 4.0620
_cell_length_b 9.8725
_cell_length_c 6.6176
_cell_angle_alpha 90.00
_cell_angle_beta 90.00
_cell_angle_gamma 90.00
_symmetry_space_group_name_H-M 'P m m n'
_symmetry_Int_Tables_number 59
loop_
_symmetry_equiv_pos_as_xyz
'x,y,z'
'-x,-y,-z'
'-x+1/2,-y+1/2,z'
'x+1/2,y+1/2,-z'
'x+1/2,-y,-z'
'-x+1/2,y,z'
'-x,y+1/2,-z'
'x,-y+1/2,z'
loop_
_atom_site_label
_atom_site_type_symbol
_atom_site_fract_x
_atom_site_fract_y
_atom_site_fract_z
La1 La 0.2500 0.0596 0.2347
La2 La 0.2500 0.2500 0.7455
Ni1 Ni 0.2500 0.7500 0.5601
Os1 Os 0.2500 0.7500 0.9401
# theoretical density = 8.3 g/cm3


Q: Which of them is the most stable? A: arrangement 2.


Arrangement 1

# LaNi3P PBE-GGA optimized geometry
data_LaNi3P
_chemical_formula_sum 'La1 Ni3 P1'
_cell_length_a 4.3502
_cell_length_b 4.3502
_cell_length_c 4.3502
_cell_angle_alpha 90.00
_cell_angle_beta 90.00
_cell_angle_gamma 90.00
_symmetry_space_group_name_H-M 'P m -3 m'
_symmetry_Int_Tables_number 221
_symmetry_space_group_name_Hall '-P 4 2 3'
loop_
_atom_site_label
_atom_site_type_symbol
_atom_site_fract_x
_atom_site_fract_y
_atom_site_fract_z
La1 La 0.0000 0.0000 0.0000
Ni1 Ni 0.0000 0.5000 0.5000
P1 P 0.5000 0.5000 0.5000
# theoretical density = 7.0 g/cm3


Arrangement 2

# LaNi3P PBE-GGA optimized geometry
data_LaNi3P
_chemical_formula_sum 'La1 Ni3 P1'
_cell_length_a 4.6680
_cell_length_b 4.6680
_cell_length_c 4.6680
_cell_angle_alpha 90.00
_cell_angle_beta 90.00
_cell_angle_gamma 90.00
_symmetry_space_group_name_H-M 'P m -3 m'
_symmetry_Int_Tables_number 221
_symmetry_space_group_name_Hall '-P 4 2 3'
loop_
_atom_site_label
_atom_site_type_symbol
_atom_site_fract_x
_atom_site_fract_y
_atom_site_fract_z
La1 La 0.0000 0.0000 0.0000
Ni1 Ni 0.0000 0.0000 0.5000
P1 P 0.5000 0.5000 0.5000
# theoretical density = 5.6 g/cm3


Q: Which of them is the most stable? A: arrangement 1.


Arrangement 1

# LaNi4P2 PBE-GGA optimized geometry
data_LaNi4P2
_chemical_formula_sum 'La2 Ni8 P4'
_cell_length_a 7.3278
_cell_length_b 7.3278
_cell_length_c 3.6237
_cell_angle_alpha 90.00
_cell_angle_beta 90.00
_cell_angle_gamma 90.00
_symmetry_space_group_name_H-M 'P 42/m n m'
_symmetry_Int_Tables_number 136
_symmetry_space_group_name_Hall '-P 4n 2n'
loop_
_atom_site_label
_atom_site_type_symbol
_atom_site_fract_x
_atom_site_fract_y
_atom_site_fract_z
La1 La 0.0000 0.0000 0.0000
Ni1 Ni 0.0877 0.3413 0.5000
P1 P 0.2216 0.7784 0.5000
# theoretical density = 7.4 g/cm3


Arrangement 2

# LaNi4P2 PBE-GGA optimized geometry
data_LaNi4P2
_chemical_formula_sum 'La4 Ni16 P8'
_cell_length_a 20.9563
_cell_length_b 3.6356
_cell_length_c 5.4655
_cell_angle_alpha 90.00
_cell_angle_beta 90.00
_cell_angle_gamma 90.00
_symmetry_space_group_name_H-M 'P n m a'
_symmetry_Int_Tables_number 62
_symmetry_space_group_name_Hall '-P 2ac 2n'
loop_
_atom_site_label
_atom_site_type_symbol
_atom_site_fract_x
_atom_site_fract_y
_atom_site_fract_z
La1 La 0.1353 0.2500 0.0064
Ni1 Ni 0.0234 0.7500 0.1439
Ni2 Ni 0.0455 0.2500 0.4816
Ni3 Ni 0.1273 0.7500 0.4915
Ni4 Ni 0.2307 0.7500 0.2887
P1 P 0.0420 0.7500 0.7445
P2 P 0.1968 0.2500 0.5012
# theoretical density = 6.9 g/cm3


Q: Which of them is the most stable? A: arrangement 1.


Arrangement 1

# LaNiP2S PBE-GGA optimized geometry
data_LaNiP2S
_chemical_formula_sum 'La1 Ni1 P2 S1'
_cell_length_a 5.5117
_cell_length_b 5.5117
_cell_length_c 5.3976
_cell_angle_alpha 90.00
_cell_angle_beta 90.00
_cell_angle_gamma 90.00
_symmetry_space_group_name_H-M 'P 4/m m m'
_symmetry_Int_Tables_number 123
_symmetry_space_group_name_Hall '-P 4 2'
loop_
_atom_site_label
_atom_site_type_symbol
_atom_site_fract_x
_atom_site_fract_y
_atom_site_fract_z
La1 La 0.0000 0.0000 0.0000
Ni1 Ni 0.5000 0.5000 0.5000
P1 P 0.0000 0.5000 0.0000
S1 S 0.0000 0.0000 0.5000
# theoretical density = 3.0 g/cm3


Arrangement 2

# LaNiP2S PBE-GGA optimized geometry
data_LaNiP2S
_chemical_formula_sum 'La1 Ni1 P2 S1'
_cell_length_a 4.3925
_cell_length_b 4.3925
_cell_length_c 4.8759
_cell_angle_alpha 90.00
_cell_angle_beta 90.00
_cell_angle_gamma 90.00
_symmetry_space_group_name_H-M 'P 4/m m m'
_symmetry_Int_Tables_number 123
_symmetry_space_group_name_Hall '-P 4 2'
loop_
_atom_site_label
_atom_site_type_symbol
_atom_site_fract_x
_atom_site_fract_y
_atom_site_fract_z
La1 La 0.0000 0.0000 0.0000
Ni1 Ni 0.5000 0.5000 0.5000
P1 P 0.0000 0.5000 0.5000
S1 S 0.5000 0.5000 0.0000
# theoretical density = 5.1 g/cm3


Q: Which of them is the most stable? A: arrangement 2.


Arrangement 1

# LaPaNi2 PBE-GGA optimized geometry
data_LaPaNi2
_chemical_formula_sum 'La3 Pa3 Ni6'
_cell_length_a 3.7778
_cell_length_b 3.7778
_cell_length_c 21.5789
_cell_angle_alpha 90.00
_cell_angle_beta 90.00
_cell_angle_gamma 120.00
_symmetry_space_group_name_H-M 'R -3 m'
_symmetry_Int_Tables_number 166
_symmetry_space_group_name_Hall '-R 3 2"'
loop_
_atom_site_label
_atom_site_type_symbol
_atom_site_fract_x
_atom_site_fract_y
_atom_site_fract_z
La1 La 0.0000 0.0000 0.0000
Pa1 Pa 0.0000 0.0000 0.5000
Ni1 Ni 0.0000 0.0000 0.2397
# theoretical density = 9.1 g/cm3


Arrangement 2

# LaPaNi2 PBE-GGA optimized geometry
data_LaPaNi2
_chemical_formula_sum 'La1 Pa1 Ni2'
_cell_length_a 3.4554
_cell_length_b 3.4554
_cell_length_c 7.0130
_cell_angle_alpha 90.00
_cell_angle_beta 90.00
_cell_angle_gamma 90.00
_symmetry_space_group_name_H-M 'P 4/m m m'
_symmetry_Int_Tables_number 123
_symmetry_space_group_name_Hall '-P 4 2'
loop_
_atom_site_label
_atom_site_type_symbol
_atom_site_fract_x
_atom_site_fract_y
_atom_site_fract_z
La1 La 0.0000 0.0000 0.0000
Pa1 Pa 0.0000 0.0000 0.5000
Ni1 Ni 0.5000 0.5000 0.3113
# theoretical density = 9.7 g/cm3


Q: Which of them is the most stable? A: arrangement 2.


Arrangement 1

# LaNiPb2 PBE-GGA optimized geometry
data_LaNiPb2
_chemical_formula_sum 'La4 Ni4 Pb8'
_cell_length_a 4.6990
_cell_length_b 4.6990
_cell_length_c 20.6697
_cell_angle_alpha 90.00
_cell_angle_beta 90.00
_cell_angle_gamma 90.00
_symmetry_space_group_name_H-M 'I -4 2 d'
_symmetry_Int_Tables_number 122
_symmetry_space_group_name_Hall 'I -4 2bw'
loop_
_atom_site_label
_atom_site_type_symbol
_atom_site_fract_x
_atom_site_fract_y
_atom_site_fract_z
La1 La 0.0000 0.0000 0.0000
Ni1 Ni 0.0000 0.0000 0.5000
Pb1 Pb 0.1950 0.2500 0.6250
# theoretical density = 8.9 g/cm3


Arrangement 2

# LaNiPb2 PBE-GGA optimized geometry
data_LaNiPb2
_chemical_formula_sum 'La2 Ni2 Pb4'
_cell_length_a 5.8790
_cell_length_b 8.2070
_cell_length_c 4.4255
_cell_angle_alpha 90.00
_cell_angle_beta 90.00
_cell_angle_gamma 90.00
_symmetry_space_group_name_H-M 'C m m m'
_symmetry_Int_Tables_number 65
_symmetry_space_group_name_Hall '-C 2 2'
loop_
_atom_site_label
_atom_site_type_symbol
_atom_site_fract_x
_atom_site_fract_y
_atom_site_fract_z
La1 La 0.0000 0.0000 0.0000
Ni1 Ni 0.0000 0.5000 0.0000
Pb1 Pb 0.0000 0.3133 0.5000
# theoretical density = 9.5 g/cm3


Q: Which of them is the most stable? A: arrangement 2.


Arrangement 1

# LaNiPb2 PBE-GGA optimized geometry
data_LaNiPb2
_chemical_formula_sum 'La2 Ni2 Pb4'
_cell_length_a 4.7087
_cell_length_b 4.7087
_cell_length_c 9.3643
_cell_angle_alpha 90.00
_cell_angle_beta 90.00
_cell_angle_gamma 90.00
_symmetry_space_group_name_H-M 'I -4 m 2'
_symmetry_Int_Tables_number 119
_symmetry_space_group_name_Hall 'I -4 -2'
loop_
_atom_site_label
_atom_site_type_symbol
_atom_site_fract_x
_atom_site_fract_y
_atom_site_fract_z
La1 La 0.0000 0.0000 0.0000
Ni1 Ni 0.0000 0.5000 0.7500
Pb1 Pb 0.0000 0.0000 0.5000
Pb2 Pb 0.0000 0.5000 0.2500
# theoretical density = 9.8 g/cm3


Arrangement 2

# LaNiPb2 PBE-GGA optimized geometry
data_LaNiPb2
_chemical_formula_sum 'La1 Ni1 Pb2'
_cell_length_a 4.6378
_cell_length_b 4.6378
_cell_length_c 4.8032
_cell_angle_alpha 90.00
_cell_angle_beta 90.00
_cell_angle_gamma 90.00
_symmetry_space_group_name_H-M 'P 4/m m m'
_symmetry_Int_Tables_number 123
_symmetry_space_group_name_Hall '-P 4 2'
loop_
_atom_site_label
_atom_site_type_symbol
_atom_site_fract_x
_atom_site_fract_y
_atom_site_fract_z
La1 La 0.0000 0.0000 0.0000
Ni1 Ni 0.5000 0.5000 0.0000
Pb1 Pb 0.0000 0.5000 0.5000
# theoretical density = 9.8 g/cm3


Q: Which of them is the most stable? A: arrangement 2.


Arrangement 1

# LaNi3Pb PBE-GGA optimized geometry
data_LaNi3Pb
_chemical_formula_sum 'La1 Ni3 Pb1'
_cell_length_a 4.8403
_cell_length_b 4.8403
_cell_length_c 4.8403
_cell_angle_alpha 90.00
_cell_angle_beta 90.00
_cell_angle_gamma 90.00
_symmetry_space_group_name_H-M 'P m -3 m'
_symmetry_Int_Tables_number 221
_symmetry_space_group_name_Hall '-P 4 2 3'
loop_
_atom_site_label
_atom_site_type_symbol
_atom_site_fract_x
_atom_site_fract_y
_atom_site_fract_z
La1 La 0.0000 0.0000 0.0000
Ni1 Ni 0.0000 0.0000 0.5000
Pb1 Pb 0.5000 0.5000 0.5000
# theoretical density = 7.6 g/cm3


Arrangement 2

# LaNi3Pb PBE-GGA optimized geometry
data_LaNi3Pb
_chemical_formula_sum 'La1 Ni3 Pb1'
_cell_length_a 4.8105
_cell_length_b 4.8105
_cell_length_c 4.8105
_cell_angle_alpha 90.00
_cell_angle_beta 90.00
_cell_angle_gamma 90.00
_symmetry_space_group_name_H-M 'P m -3 m'
_symmetry_Int_Tables_number 221
_symmetry_space_group_name_Hall '-P 4 2 3'
loop_
_atom_site_label
_atom_site_type_symbol
_atom_site_fract_x
_atom_site_fract_y
_atom_site_fract_z
La1 La 0.0000 0.0000 0.0000
Ni1 Ni 0.0000 0.5000 0.5000
Pb1 Pb 0.5000 0.5000 0.5000
# theoretical density = 7.8 g/cm3


Q: Which of them is the most stable? A: arrangement 2.


Arrangement 1

# La4NiPd PBE-GGA optimized geometry
data_La4NiPd
_chemical_formula_sum 'La8 Ni2 Pd2'
_cell_length_a 7.1878
_cell_length_b 7.1878
_cell_length_c 6.5593
_cell_angle_alpha 90.00
_cell_angle_beta 90.00
_cell_angle_gamma 90.00
_symmetry_space_group_name_H-M 'P 4/m c c'
_symmetry_Int_Tables_number 124
_symmetry_space_group_name_Hall '-P 4 2c'
loop_
_atom_site_label
_atom_site_type_symbol
_atom_site_fract_x
_atom_site_fract_y
_atom_site_fract_z
La1 La 0.1742 0.3127 0.0000
Ni1 Ni 0.0000 0.0000 0.2500
Pd1 Pd 0.5000 0.5000 0.2500
# theoretical density = 7.1 g/cm3


Arrangement 2

# La4NiPd PBE-GGA optimized geometry
data_La4NiPd
_chemical_formula_sum 'La16 Ni4 Pd4'
_cell_length_a 8.5647
_cell_length_b 15.1654
_cell_length_c 7.1165
_cell_angle_alpha 90.00
_cell_angle_beta 126.34
_cell_angle_gamma 90.00
_symmetry_space_group_name_H-M 'C 1 2/c 1'
_symmetry_Int_Tables_number 15
_symmetry_space_group_name_Hall '-C 2yc'
loop_
_atom_site_label
_atom_site_type_symbol
_atom_site_fract_x
_atom_site_fract_y
_atom_site_fract_z
La1 La 0.2121 0.2123 0.2197
La2 La 0.2456 0.0452 0.7411
Ni1 Ni 0.0000 0.0851 0.2500
Pd1 Pd 0.0000 0.4010 0.7500
# theoretical density = 6.4 g/cm3


Q: Which of them is the most stable? A: arrangement 1.


Arrangement 1

# LaSi2NiPd PBE-GGA optimized geometry
data_LaSi2NiPd
_chemical_formula_sum 'La2 Si4 Ni2 Pd2'
_cell_length_a 4.2181
_cell_length_b 4.2181
_cell_length_c 9.8438
_cell_angle_alpha 90.00
_cell_angle_beta 90.00
_cell_angle_gamma 90.00
_symmetry_space_group_name_H-M 'I -4 m 2'
_symmetry_Int_Tables_number 119
_symmetry_space_group_name_Hall 'I -4 -2'
loop_
_atom_site_label
_atom_site_type_symbol
_atom_site_fract_x
_atom_site_fract_y
_atom_site_fract_z
La1 La 0.0000 0.0000 0.0000
Si1 Si 0.0000 0.0000 0.3748
Ni1 Ni 0.0000 0.5000 0.7500
Pd1 Pd 0.0000 0.5000 0.2500
# theoretical density = 6.8 g/cm3


Arrangement 2

# LaSi2NiPd PBE-GGA optimized geometry
data_LaSi2NiPd
_chemical_formula_sum 'La1 Si2 Ni1 Pd1'
_cell_length_a 4.5740
_cell_length_b 4.5740
_cell_length_c 5.6155
_cell_angle_alpha 90.00
_cell_angle_beta 90.00
_cell_angle_gamma 90.00
_symmetry_space_group_name_H-M 'P 4/m m m'
_symmetry_Int_Tables_number 123
_symmetry_space_group_name_Hall '-P 4 2'
loop_
_atom_site_label
_atom_site_type_symbol
_atom_site_fract_x
_atom_site_fract_y
_atom_site_fract_z
La1 La 0.0000 0.0000 0.0000
Si1 Si 0.0000 0.5000 0.5000
Ni1 Ni 0.5000 0.5000 0.0000
Pd1 Pd 0.0000 0.0000 0.5000
# theoretical density = 5.1 g/cm3


Q: Which of them is the most stable? A: arrangement 1.


Arrangement 1

# LaPm3Ni2 PBE-GGA optimized geometry
data_LaPm3Ni2
_chemical_formula_sum 'La4 Pm12 Ni8'
_cell_length_a 16.7397
_cell_length_b 3.9632
_cell_length_c 11.9464
_cell_angle_alpha 90.00
_cell_angle_beta 124.71
_cell_angle_gamma 90.00
_symmetry_space_group_name_H-M 'C 1 2/m 1'
_symmetry_Int_Tables_number 12
_symmetry_space_group_name_Hall '-C 2y'
loop_
_atom_site_label
_atom_site_type_symbol
_atom_site_fract_x
_atom_site_fract_y
_atom_site_fract_z
La1 La 0.1547 0.0000 0.2530
Pm1 Pm 0.0814 0.5000 0.4448
Pm2 Pm 0.0844 0.5000 0.9410
Pm3 Pm 0.1541 0.0000 0.7495
Ni1 Ni 0.2324 0.0000 0.5528
Ni2 Ni 0.2327 0.0000 0.0480
# theoretical density = 7.0 g/cm3


Arrangement 2

# LaPm3Ni2 PBE-GGA optimized geometry
data_LaPm3Ni2
_chemical_formula_sum 'La4 Pm12 Ni8'
_cell_length_a 16.7746
_cell_length_b 4.1381
_cell_length_c 11.9436
_cell_angle_alpha 90.00
_cell_angle_beta 122.75
_cell_angle_gamma 90.00
_symmetry_space_group_name_H-M 'C 1 2/m 1'
_symmetry_Int_Tables_number 12
_symmetry_space_group_name_Hall '-C 2y'
loop_
_atom_site_label
_atom_site_type_symbol
_atom_site_fract_x
_atom_site_fract_y
_atom_site_fract_z
La1 La 0.0597 0.0000 0.1876
Pm1 Pm 0.0653 0.5000 0.6872
Pm2 Pm 0.1893 0.0000 0.5622
Pm3 Pm 0.1904 0.5000 0.0635
Ni1 Ni 0.1228 0.5000 0.3767
Ni2 Ni 0.1264 0.0000 0.8748
# theoretical density = 6.6 g/cm3


Q: Which of them is the most stable? A: arrangement 1.